Compound: Zr6Bi3Pb
Source: Alexandria
Functional: PBE-GGA
Structure: optimized geometry

Lattice parameters (Å, degrees): 9.222 14.570 7.665 90.00 90.00 90.00
Space group Cmc2_1 (No. 36)
Symmetry-distinct sites (fractional):
Zr1 0.000 0.041 0.000 (multiplicity 4)
Zr2 0.000 0.256 0.737 (multiplicity 4)
Zr3 0.197 0.419 0.835 (multiplicity 8)
Zr4 0.221 0.219 0.021 (multiplicity 8)
Bi1 0.000 0.426 0.508 (multiplicity 4)
Bi2 0.210 0.098 0.702 (multiplicity 8)
Pb1 0.000 0.180 0.314 (multiplicity 4)

Output
ρ = 8910 kg/m³
Spin magnetization = 0.00 μB/f.u.
ΔH_f (0 K) = -0.16 eV per atom
Total DFT energy (no corrections) = -272.9 eV for the cell shown
DOS at the Fermi energy = 0.80 states/eV per atom